1.
Sc6Ga2Au after structural relaxation. Source: Alexandria via LeMat-Bulk, functional PBE.

a = 9.137 Å, b = 9.137 Å, c = 4.583 Å
α = 90.00°, β = 90.00°, γ = 90.00°
Sites, in units of the cell vectors:
Sc  0.027  0.317  0.000
Sc  0.127  0.873  0.500
Sc  0.183  0.527  0.500
Sc  0.317  0.027  0.000
Sc  0.373  0.373  0.000
Sc  0.473  0.817  0.500
Sc  0.527  0.183  0.500
Sc  0.627  0.627  0.000
Sc  0.683  0.973  0.000
Sc  0.817  0.473  0.500
Sc  0.873  0.127  0.500
Sc  0.973  0.683  0.000
Ga  0.210  0.210  0.500
Ga  0.290  0.710  0.000
Ga  0.710  0.290  0.000
Ga  0.790  0.790  0.500
Au  0.000  0.000  0.000
Au  0.500  0.500  0.500

Results
final energy = -51.29 eV/f.u.
Fermi-level density of states = 20.69 states/eV/cell
energy of formation = -0.44 eV/atom



2.
Sc5Ga2Au2 after structural relaxation. Source: Alexandria via LeMat-Bulk, functional PBE.

a = 8.210 Å, b = 8.210 Å, c = 7.125 Å
α = 90.00°, β = 90.00°, γ = 51.40°
Sites, in units of the cell vectors:
Sc  0.000  0.000  0.000
Sc  0.044  0.685  0.673
Sc  0.185  0.544  0.173
Sc  0.315  0.956  0.673
Sc  0.456  0.815  0.173
Sc  0.500  0.500  0.500
Sc  0.544  0.185  0.827
Sc  0.685  0.044  0.327
Sc  0.815  0.456  0.827
Sc  0.956  0.315  0.327
Ga  0.125  0.875  0.375
Ga  0.375  0.625  0.875
Ga  0.625  0.375  0.125
Ga  0.875  0.125  0.625
Au  0.211  0.211  0.000
Au  0.289  0.289  0.500
Au  0.711  0.711  0.500
Au  0.789  0.789  0.000

Results
final energy = -50.06 eV/f.u.
Fermi-level density of states = 13.61 states/eV/cell
energy of formation = -0.64 eV/atom



3.
ScGaAu2 after structural relaxation. Source: Alexandria via LeMat-Bulk, functional PBE.

a = 3.518 Å, b = 3.518 Å, c = 6.088 Å
α = 90.00°, β = 90.00°, γ = 90.00°
Sites, in units of the cell vectors:
Sc  0.000  0.000  0.000
Ga  0.000  0.000  0.500
Au  0.500  0.500  0.245
Au  0.500  0.500  0.755

Results
final energy = -18.11 eV/f.u.
Fermi-level density of states = 2.51 states/eV/cell
energy of formation = -0.55 eV/atom



4.
ScGaAu2 after structural relaxation. Source: Alexandria via LeMat-Bulk, functional PBE.

a = 4.198 Å, b = 4.198 Å, c = 18.420 Å
α = 90.00°, β = 90.00°, γ = 90.00°
Sites, in units of the cell vectors:
Sc  0.000  0.000  0.000
Sc  0.000  0.500  0.250
Sc  0.500  0.000  0.750
Sc  0.500  0.500  0.500
Ga  0.000  0.000  0.500
Ga  0.000  0.500  0.750
Ga  0.500  0.000  0.250
Ga  0.500  0.500  0.000
Au  0.233  0.250  0.625
Au  0.250  0.733  0.875
Au  0.250  0.767  0.375
Au  0.267  0.250  0.125
Au  0.733  0.750  0.125
Au  0.750  0.233  0.375
Au  0.750  0.267  0.875
Au  0.767  0.750  0.625

Results
final energy = -17.10 eV/f.u.
Fermi-level density of states = 7.93 states/eV/cell
energy of formation = -0.30 eV/atom



5.
Sc3Ga4Au4 after structural relaxation. Source: Alexandria via LeMat-Bulk, functional PBE.

a = 13.967 Å, b = 13.967 Å, c = 13.967 Å
α = 166.48°, β = 161.35°, γ = 23.11°
Sites, in units of the cell vectors:
Sc  0.000  0.000  0.000
Sc  0.361  0.861  0.500
Sc  0.639  0.139  0.500
Ga  0.185  0.685  0.500
Ga  0.454  0.454  0.000
Ga  0.546  0.546  0.000
Ga  0.815  0.315  0.500
Au  0.091  0.591  0.500
Au  0.271  0.271  0.000
Au  0.729  0.729  0.000
Au  0.909  0.409  0.500

Results
final energy = -50.95 eV/f.u.
Fermi-level density of states = 3.90 states/eV/cell
energy of formation = -0.61 eV/atom



6.
Sc2Ga3Au after structural relaxation. Source: Alexandria via LeMat-Bulk, functional PBE.

a = 8.809 Å, b = 8.321 Å, c = 5.473 Å
α = 76.28°, β = 66.59°, γ = 37.13°
Sites, in units of the cell vectors:
Sc  0.247  0.753  0.753
Sc  0.250  0.250  0.250
Sc  0.750  0.750  0.750
Sc  0.753  0.247  0.247
Ga  0.168  0.668  0.332
Ga  0.332  0.832  0.168
Ga  0.336  0.336  0.664
Ga  0.664  0.664  0.336
Ga  0.668  0.168  0.832
Ga  0.832  0.332  0.668
Au  0.169  0.169  0.831
Au  0.831  0.831  0.169

Results
final energy = -28.85 eV/f.u.
Fermi-level density of states = 7.69 states/eV/cell
energy of formation = -0.64 eV/atom



7.
Sc4Ga3Au after structural relaxation. Source: Alexandria via LeMat-Bulk, functional PBE.

a = 3.378 Å, b = 3.378 Å, c = 13.436 Å
α = 90.00°, β = 90.00°, γ = 90.00°
Sites, in units of the cell vectors:
Sc  0.000  0.000  0.123
Sc  0.000  0.000  0.373
Sc  0.000  0.000  0.627
Sc  0.000  0.000  0.877
Ga  0.500  0.500  0.000
Ga  0.500  0.500  0.248
Ga  0.500  0.500  0.752
Au  0.500  0.500  0.500

Results
final energy = -42.84 eV/f.u.
Fermi-level density of states = 5.30 states/eV/cell
energy of formation = -0.64 eV/atom



8.
Sc2GaAuSe after structural relaxation. Source: Alexandria via LeMat-Bulk, functional PBE.

a = 4.976 Å, b = 4.976 Å, c = 4.931 Å
α = 90.00°, β = 90.00°, γ = 90.00°
Sites, in units of the cell vectors:
Sc  0.000  0.500  0.000
Sc  0.500  0.000  0.000
Ga  0.000  0.000  0.500
Au  0.500  0.500  0.500
Se  0.500  0.500  0.000

Results
final energy = -23.56 eV/f.u.
formation energy (no corrections) = -1.1 eV per formula unit
Fermi-level density of states = 2.83 states/eV/cell



What is the Fermi-level density of states in the sixth record? 7.69 states/eV/cell



Repeat the sixth record exactly.
Sc2Ga3Au after structural relaxation. Source: Alexandria via LeMat-Bulk, functional PBE.

a = 8.809 Å, b = 8.321 Å, c = 5.473 Å
α = 76.28°, β = 66.59°, γ = 37.13°
Sites, in units of the cell vectors:
Sc  0.247  0.753  0.753
Sc  0.250  0.250  0.250
Sc  0.750  0.750  0.750
Sc  0.753  0.247  0.247
Ga  0.168  0.668  0.332
Ga  0.332  0.832  0.168
Ga  0.336  0.336  0.664
Ga  0.664  0.664  0.336
Ga  0.668  0.168  0.832
Ga  0.832  0.332  0.668
Au  0.169  0.169  0.831
Au  0.831  0.831  0.169

Results
final energy = -28.85 eV/f.u.
Fermi-level density of states = 7.69 states/eV/cell
energy of formation = -0.64 eV/atom



final energy of number 2 (Sc5Ga2Au2)? -50.06 eV/f.u.



What is the Fermi-level density of states in the second record? 13.61 states/eV/cell